# 1
Compound: SbS24I3
Source: Alexandria
Functional: meta-GGA SCAN
Structure: single point on PBEsol structure

The structure in POSCAR format:
```
SbS24I3
1.0
4.3554 0.0000 0.0000
-1.4518 14.1607 0.0000
-1.4518 -7.0803 12.2635
Sb S I
1 24 3
direct
0.6590 0.0000 0.0000
0.4102 0.3972 0.0000
0.4102 0.0000 0.3972
0.0130 0.6028 0.6028
0.1350 0.3805 0.8651
0.2699 0.1349 0.5154
0.7545 0.4846 0.6195
0.7545 0.6195 0.4846
0.2699 0.5154 0.1349
0.1350 0.8651 0.3805
0.3820 0.4664 0.8075
0.5745 0.1925 0.6589
0.9156 0.3411 0.5336
0.9156 0.5336 0.3411
0.5745 0.6589 0.1925
0.3820 0.8075 0.4664
0.2376 0.6148 0.8633
0.3743 0.1367 0.7515
0.6228 0.2485 0.3852
0.6228 0.3852 0.2485
0.3743 0.7515 0.1367
0.2376 0.8633 0.6148
0.5506 0.7302 0.0000
0.5506 0.0000 0.7302
0.8204 0.2698 0.2698
0.0577 0.1665 0.0000
0.0577 0.0000 0.1665
0.8911 0.8335 0.8335
```

Results
* formation energy without anion corrections: -0.04 eV per atom
* SG: R3m


# 2
Compound: HfZrPb2Br
Source: Alexandria
Functional: meta-GGA SCAN
Structure: single point on PBEsol structure

The structure in POSCAR format:
```
HfZrPb2Br
1.0
5.1467 0.0000 0.0000
0.0000 5.5415 0.0000
0.0000 0.0000 5.5415
Pb Hf Br Zr
2 1 1 1
direct
0.0000 0.0000 0.5000
0.0000 0.5000 0.0000
0.0000 0.0000 0.0000
0.5000 0.5000 0.5000
0.5000 0.0000 0.0000
```

Results
* formation energy without anion corrections: 0.43 eV per atom
* SG: P4/mmm


# 3
Compound: Cd2InHg
Source: Alexandria
Functional: meta-GGA SCAN
Structure: single point on PBEsol structure

The structure in POSCAR format:
```
Cd2InHg
1.0
3.1741 -0.0285 0.0000
-1.3452 2.8751 0.0000
0.0000 0.0000 10.1426
In Hg Cd
1 1 2
direct
0.5000 0.5000 0.0000
0.5000 0.5000 0.5000
0.0000 0.0000 0.2583
0.0000 0.0000 0.7417
```

Results
* formation energy: 74 meV per atom
* SG: Cmmm


# 4
Compound: Zr5Sb3P
Source: Alexandria
Functional: meta-GGA SCAN
Structure: single point on PBEsol structure

The structure in POSCAR format:
```
Zr5Sb3P
1.0
5.9123 0.0000 0.0000
0.0000 8.4444 0.0000
0.0000 -4.2222 7.3130
Zr Sb P
10 6 2
direct
0.5000 0.6667 0.3333
0.5000 0.3333 0.6667
0.0000 0.3333 0.6667
0.0000 0.6667 0.3333
0.7500 0.2514 0.2514
0.7500 0.0000 0.7486
0.7500 0.7486 0.0000
0.2500 0.7486 0.7486
0.2500 0.0000 0.2514
0.2500 0.2514 0.0000
0.7500 0.6010 0.6010
0.7500 0.0000 0.3990
0.7500 0.3990 0.0000
0.2500 0.3990 0.3990
0.2500 0.0000 0.6010
0.2500 0.6010 0.0000
0.5000 0.0000 0.0000
0.0000 0.0000 0.0000
```

Results
* formation energy without anion corrections: -1.02 eV per atom
* SG: P6_3/mcm


# 5
Compound: PPtIO2
Source: Alexandria
Functional: meta-GGA SCAN
Structure: single point on PBEsol structure

The structure in POSCAR format:
```
PPtIO2
1.0
3.7575 0.0000 0.0000
0.0000 3.7575 0.0000
0.0000 0.0000 7.5642
I P O Pt
1 1 2 1
direct
0.0000 0.0000 0.5000
0.5000 0.5000 0.5000
0.0000 0.5000 0.0000
0.5000 0.0000 0.0000
0.0000 0.0000 0.0000
```

Results
* formation energy without anion corrections: 0.37 eV per atom
* SG: P4/mmm


# 6
Compound: K5Hg3
Source: Alexandria
Functional: meta-GGA SCAN
Structure: single point on PBEsol structure

The structure in POSCAR format:
```
K5Hg3
1.0
-6.5220 0.8195 2.6924
3.5304 -2.3404 9.2644
-0.0713 9.6957 -3.1240
Hg K
6 10
direct
0.7500 0.3996 0.3996
0.2500 0.6004 0.6004
0.7500 0.0000 0.6004
0.7500 0.6004 0.0000
0.2500 0.3996 0.0000
0.2500 0.0000 0.3996
0.0000 0.6667 0.3333
0.5000 0.3333 0.6667
0.0000 0.3333 0.6667
0.5000 0.6667 0.3333
0.7500 0.7438 0.7438
0.2500 0.2562 0.2562
0.7500 0.0000 0.2562
0.7500 0.2562 0.0000
0.2500 0.7438 0.0000
0.2500 0.0000 0.7438
```

Results
* formation energy: -231 meV per atom
* SG: P6_3/mcm


# 7
Compound: FeTe2IrI
Source: Alexandria
Functional: meta-GGA SCAN
Structure: single point on PBEsol structure

The structure in POSCAR format:
```
FeTe2IrI
1.0
-1.4110 -4.9431 -0.0662
4.8795 -1.3815 -0.8433
0.8313 -0.3085 5.3153
I Ir Te Fe
1 1 2 1
direct
0.0000 0.0000 0.5000
0.0000 0.0000 0.0000
0.0000 0.5000 0.0000
0.5000 0.0000 0.0000
0.5000 0.5000 0.5000
```

Results
* formation energy without anion corrections: 0.92 eV per atom
* SG: P4/mmm


# 8
Compound: CaIn2Hg2
Source: Alexandria
Functional: meta-GGA SCAN
Structure: single point on PBEsol structure

The structure in POSCAR format:
```
CaIn2Hg2
1.0
4.4051 0.0000 0.0000
0.0000 4.4051 0.0000
-2.2026 -2.2026 6.4924
Ca Hg In
1 2 2
direct
0.0000 0.0000 0.0000
0.3954 0.3954 0.7909
0.6046 0.6046 0.2091
0.2500 0.7500 0.5000
0.7500 0.2500 0.5000
```

Results
* formation energy: -381 meV per atom
* SG: I4/mmm


# 9
Compound: AlMo2Cl
Source: Alexandria
Functional: meta-GGA SCAN
Structure: single point on PBEsol structure

The structure in POSCAR format:
```
AlMo2Cl
1.0
3.2526 0.0000 0.0000
0.0000 3.2526 0.0000
0.0000 0.0000 6.4135
Mo Al Cl
2 1 1
direct
0.0000 0.0000 0.8142
0.0000 0.0000 0.1858
0.5000 0.5000 0.0000
0.5000 0.5000 0.5000
```

Results
* formation energy without anion corrections: 0.31 eV per atom
* SG: P4/mmm


# 10
Compound: CsRb2Cd2
Source: Alexandria
Functional: meta-GGA SCAN
Structure: single point on PBEsol structure

The structure in POSCAR format:
```
CsRb2Cd2
1.0
-2.3495 -5.8435 -1.6764
5.8973 -1.7544 -2.1496
-0.2706 1.4648 7.9423
Cs Rb Cd
1 2 2
direct
0.0000 0.0000 0.0000
0.3532 0.3532 0.7064
0.6468 0.6468 0.2936
0.2500 0.7500 0.5000
0.7500 0.2500 0.5000
```

Results
* formation energy: 117 meV per atom
* SG: I4/mmm


# 11
Compound: Er2Ga9Co3
Source: Alexandria
Functional: meta-GGA SCAN
Structure: single point on PBEsol structure

The structure in POSCAR format:
```
Er2Ga9Co3
1.0
-3.3229 -3.8460 5.1297
7.0768 -0.8921 -1.1266
1.8150 6.6328 6.1487
Er Ga Co
4 18 6
direct
0.8312 0.5028 0.2500
0.1688 0.4972 0.7500
0.4972 0.1688 0.7500
0.5028 0.8312 0.2500
0.9484 0.1633 0.2500
0.0516 0.8367 0.7500
0.8367 0.0516 0.7500
0.1633 0.9484 0.2500
0.6206 0.6206 0.7500
0.3794 0.3794 0.2500
0.1668 0.1668 0.9410
0.8332 0.8332 0.4410
0.8332 0.8332 0.0590
0.1668 0.1668 0.5590
0.8344 0.4998 0.9275
0.1656 0.5002 0.4275
0.5002 0.1656 0.0725
0.4998 0.8344 0.5725
0.1656 0.5002 0.0725
0.8344 0.4998 0.5725
0.4998 0.8344 0.9275
0.5002 0.1656 0.4275
0.8290 0.1710 0.0000
0.5000 0.5000 0.5000
0.5000 0.5000 0.0000
0.1710 0.8290 0.5000
0.1710 0.8290 0.0000
0.8290 0.1710 0.5000
```

Results
* formation energy: -507 meV per atom
* SG: Cmcm


# 12
Compound: Zr2InCo
Source: Alexandria
Functional: meta-GGA SCAN
Structure: single point on PBEsol structure

The structure in POSCAR format:
```
Zr2InCo
1.0
4.0220 0.0000 0.0000
0.0000 4.2569 0.0000
0.0000 0.0000 4.2569
Co In Zr
1 1 2
direct
0.5000 0.5000 0.5000
0.5000 0.0000 0.0000
0.0000 0.0000 0.5000
0.0000 0.5000 0.0000
```

Results
* formation energy: -262 meV per atom
* SG: P4/mmm


# 13
Compound: Sr2IrSe
Source: Alexandria
Functional: meta-GGA SCAN
Structure: single point on PBEsol structure

The structure in POSCAR format:
```
Sr2IrSe
1.0
4.2734 0.0000 0.0000
0.0000 4.2734 0.0000
-2.1367 -2.1367 5.4074
Ir Se Sr
1 1 2
direct
0.5000 0.5000 0.0000
0.2500 0.7500 0.5000
0.0000 0.0000 0.0000
0.7500 0.2500 0.5000
```

Results
* formation energy without anion corrections: -0.50 eV per atom
* SG: I-4m2


# 14
Compound: Cr2IrRh
Source: Alexandria
Functional: meta-GGA SCAN
Structure: single point on PBEsol structure

The structure in POSCAR format:
```
Cr2IrRh
1.0
-1.4478 0.7543 -2.0591
-1.5604 -1.7312 -1.2137
-7.3415 1.7341 4.1206
Cr Ir Rh
2 1 1
direct
0.2503 0.2503 0.2492
0.7497 0.7497 0.7508
0.5000 0.5000 0.5000
0.0000 0.0000 0.0000
```

Results
* formation energy: -9 meV per atom
* SG: R-3m


# 15
Compound: InPtBr2
Source: Alexandria
Functional: meta-GGA SCAN
Structure: single point on PBEsol structure

The structure in POSCAR format:
```
InPtBr2
1.0
3.3884 0.0000 0.0000
0.0000 4.4117 0.0000
0.0000 0.0000 5.8978
Br Pt In
2 1 1
direct
0.0000 0.0000 0.0000
0.5000 0.0000 0.5000
0.0000 0.5000 0.5000
0.5000 0.5000 0.0000
```

Results
* formation energy without anion corrections: 0.24 eV per atom
* SG: Pmmm


# 16
Compound: Te2RuRh2
Source: Alexandria
Functional: meta-GGA SCAN
Structure: single point on PBEsol structure

The structure in POSCAR format:
```
Te2RuRh2
1.0
4.6945 0.0000 0.0000
0.0000 4.6945 0.0000
0.0000 0.0000 4.9429
Ru Te Rh
1 2 2
direct
0.0000 0.0000 0.0000
0.5000 0.5000 0.5000
0.0000 0.0000 0.5000
0.0000 0.5000 0.0000
0.5000 0.0000 0.0000
```

Results
* formation energy without anion corrections: 1.00 eV per atom
* SG: P4/mmm


# 17
Compound: YZrCo2
Source: Alexandria
Functional: meta-GGA SCAN
Structure: single point on PBEsol structure

The structure in POSCAR format:
```
YZrCo2
1.0
-2.8586 0.4059 1.3060
-0.5685 -4.5220 0.1609
1.8843 -0.0892 4.1520
Y Co Zr
1 2 1
direct
0.5000 0.5000 0.5000
0.0000 0.0000 0.5000
0.0000 0.5000 0.0000
0.5000 0.0000 0.0000
```

Results
* formation energy: -256 meV per atom
* SG: P4/mmm


# 18
Compound: Nd5As2ClO10
Source: Alexandria
Functional: meta-GGA SCAN
Structure: single point on PBEsol structure

The structure in POSCAR format:
```
Nd5As2ClO10
1.0
5.6565 0.0000 0.0000
2.8282 6.1958 0.0216
2.8282 2.2370 8.0345
Nd As Cl O
5 2 1 10
direct
0.5008 0.7056 0.2928
0.2537 0.3629 0.1298
0.0000 0.0000 0.0000
0.7463 0.6371 0.8702
0.4992 0.2944 0.7072
0.2136 0.9695 0.6032
0.7864 0.0305 0.3968
0.0000 0.5000 0.5000
0.3740 0.6745 0.0836
0.3762 0.9677 0.7520
0.3593 0.6830 0.5985
0.6407 0.3170 0.4015
0.8679 0.6745 0.0836
0.1321 0.3255 0.9164
0.9041 0.9677 0.7520
0.6260 0.3255 0.9164
0.0959 0.0323 0.2480
0.6238 0.0323 0.2480
```

Results
* formation energy without anion corrections: -3.10 eV per atom
* SG: C2/m


# 19
Compound: BaLu2Te4
Source: Alexandria
Functional: meta-GGA SCAN
Structure: single point on PBEsol structure

The structure in POSCAR format:
```
BaLu2Te4
1.0
4.3514 0.0000 0.0000
0.0000 13.4452 0.0000
0.0000 0.0000 15.8330
Ba Lu Te
4 8 16
direct
0.7500 0.2620 0.1710
0.7500 0.7620 0.3290
0.2500 0.7380 0.8290
0.2500 0.2380 0.6710
0.7500 0.4196 0.9040
0.7500 0.9196 0.5960
0.2500 0.5804 0.0960
0.2500 0.0804 0.4039
0.7500 0.9422 0.1096
0.7500 0.4422 0.3904
0.2500 0.0578 0.8904
0.2500 0.5578 0.6096
0.7500 0.4093 0.5756
0.7500 0.9093 0.9244
0.2500 0.5907 0.4244
0.2500 0.0907 0.0756
0.7500 0.2046 0.8441
0.7500 0.7046 0.6559
0.2500 0.7954 0.1559
0.2500 0.2954 0.3441
0.7500 0.1268 0.5279
0.7500 0.6268 0.9721
0.2500 0.8732 0.4721
0.2500 0.3732 0.0279
0.7500 0.0276 0.2841
0.7500 0.5276 0.2159
0.2500 0.9724 0.7159
0.2500 0.4724 0.7841
```

Results
* formation energy without anion corrections: -1.65 eV per atom
* SG: Pnma


# 20
Compound: SiRh2
Source: Alexandria
Functional: meta-GGA SCAN
Structure: single point on PBEsol structure

The structure in POSCAR format:
```
SiRh2
1.0
-0.7715 -1.7507 1.8719
4.0083 -0.4860 1.1976
-2.3882 2.9697 1.7930
Rh Si
2 1
direct
0.5000 0.6667 0.3333
0.5000 0.3333 0.6667
0.0000 0.0000 0.0000
```

Results
* formation energy without anion corrections: 0.03 eV per atom
* SG: P6/mmm


no.,magnetization (μB/cell),electronic total energy (eV/atom)
1,0.00,-13.56
2,0.00,-52.45
3,0.00,-40.52
4,0.00,-31.65
5,0.00,-25.59
6,0.00,-31.00
7,3.91,-39.17
8,0.00,-42.93
9,0.00,-21.06
10,0.00,-27.91
11,0.00,-21.91
12,2.01,-28.28
13,0.92,-34.44
14,0.00,-35.42
15,0.00,-35.38
16,0.00,-34.38
17,1.48,-23.54
18,0.00,-21.35
19,0.00,-44.40
20,0.00,-25.82